Na2InIrO4: optimized geometry, GGA-PBE.

Results
- Volume: 112.9 Å³/f.u.

a b c (Å): 5.2847 5.2847 5.2847
angles (deg): 112.12 112.12 104.30
Fractional positions:
Na1 0.0000 0.0000 0.0000
Na2 0.7500 0.2500 0.5000
In1 0.5000 0.5000 0.0000
Ir1 0.2500 0.7500 0.5000
O1 0.1124 0.4844 0.0457
O2 0.4387 0.0668 0.9543
O3 0.5156 0.5613 0.6281
O4 0.9332 0.8876 0.3719

=====

KF3: optimized geometry, GGA-PBE.

Results
- Volume: 58.0 Å³/f.u.

a b c (Å): 4.7325 4.7325 4.7325
angles (deg): 50.40 50.40 50.40
Fractional positions:
K1 0.0000 0.0000 0.0000
F1 0.2195 0.2195 0.2195
F2 0.5000 0.5000 0.5000
F3 0.7805 0.7805 0.7805

=====

The raw total energy results, record by record, are as follows: -43.0, -11.5 eV per formula unit.
The energy relative to the elements, uncorrected results, record by record, are as follows: -1.119, -1.198 eV/atom.
The mass density results, record by record, are as follows: 6.1, 2.8 g/cm3.